The following is a DFT calculation (PBE-GGA) of crystalline LaMn3Se at its relaxed geometry.

a b c (Å): 4.6835 4.6835 4.6835
angles (deg): 90.00 90.00 90.00
With the nearest neighbours (Å) after each atom.
Element x y z (fractional)
La (0.0000, 0.0000, 0.0000)  12 Mn 3.31
Mn (0.0000, 0.5000, 0.5000)  2 Se 2.34
Mn (0.5000, 0.0000, 0.5000)  2 Se 2.34
Mn (0.5000, 0.5000, 0.0000)  2 Se 2.34
Se (0.5000, 0.5000, 0.5000)  6 Mn 2.34

Properties
- DFT total energy: -34.7 eV for the cell shown
- Formation energy (no corrections): 0.251 eV per atom